# 1
YHo3Sc3 | GGA-PBE | relaxed

The space group is P6_3/m (No. 176) and the conventional cell measures 9.2174, 9.2174 and 5.4337 Å, with angles of 90.00, 90.00 and 120.00 degrees. Symmetry generates all atoms from Y at (0.3333, 0.6667, 0.2500), Ho at (0.0447, 0.2432, 0.2500) and Sc at (0.0945, 0.4796, 0.7500).

The value obtained for the magnetic moment is 2.2 Bohr magnetons per cell. For the offset from the most stable computed form, the calculation gives 0 meV/atom. The value obtained for the energy of formation is 2 kJ per mole of atoms.

# 2
ZrBeHg2 | GGA-PBE | relaxed

The space group is Pmmm (No. 47) and the conventional cell measures 4.1470, 4.1772 and 4.4366 Å, with angles of 90.00, 90.00 and 90.00 degrees. Symmetry generates all atoms from Zr at (0.0000, 0.0000, 0.0000), Be at (0.5000, 0.5000, 0.0000), Hg at (0.0000, 0.5000, 0.5000) and Hg at (0.5000, 0.0000, 0.5000).

The value obtained for the magnetic moment is 0.0 Bohr magnetons per cell. The value obtained for the energy of formation is 13 kJ per mole of atoms.

# 3
Ca2NdZn2Ge2 | GGA-PBE | relaxed

The space group is R-3m (No. 166, hexagonal axes) and the conventional cell measures 4.2409, 4.2409 and 35.1275 Å, with angles of 90.00, 90.00 and 120.00 degrees. Symmetry generates all atoms from Ca at (0.0000, 0.0000, 0.1194), Nd at (0.0000, 0.0000, 0.0000), Zn at (0.0000, 0.0000, 0.3922) and Ge at (0.0000, 0.0000, 0.2734).

The value obtained for the magnetic moment is 0.0 Bohr magnetons per cell. The value obtained for the energy of formation is -48 kJ per mole of atoms.

# 4
BaGeSe4 | GGA-PBE | relaxed

The space group is P-1 (No. 2) and the conventional cell measures 6.3959, 7.5437 and 8.5287 Å, with angles of 114.22, 108.74 and 92.55 degrees. Symmetry generates all atoms from Ba at (0.1924, 0.2202, 0.4420), Ge at (0.0000, 0.5000, 0.0000), Ge at (0.5000, 0.0000, 0.0000), Se at (0.0938, 0.8405, 0.0108), Se at (0.2354, 0.7613, 0.3691), Se at (0.3431, 0.7015, 0.6416) and Se at (0.3586, 0.3524, 0.9357).

The total energy comes out at -4.12 eV/atom. The value obtained for the magnetic moment is 0.0 Bohr magnetons per cell.

# 5
LaMo2AsI | GGA-PBE | relaxed

The space group is P4/mmm (No. 123) and the conventional cell measures 4.7152, 4.7152 and 5.8339 Å, with angles of 90.00, 90.00 and 90.00 degrees. Symmetry generates all atoms from La at (0.0000, 0.0000, 0.0000), Mo at (0.0000, 0.5000, 0.5000), As at (0.0000, 0.0000, 0.5000) and I at (0.5000, 0.5000, 0.0000).

The total energy comes out at -5.99 eV/atom. The value obtained for the magnetic moment is 0.0 Bohr magnetons per cell.

- Which of these has the highest magnetic moment?
  YHo3Sc3

- Number 5 is which compound?
  LaMo2AsI

- The highest magnetic moment belongs to which entry?
  YHo3Sc3

- What is the formula in the first record?
  YHo3Sc3